Record 1
SCAN BeTcBr2, single point on PBEsol structure; ρ = 7.15 g/cm3; energy above the lowest structure with this stoichiometry = 1.076 eV per atom; space-group type = P4/mmm, No. 123
1.0
4.482 0.000 0.000
0.000 4.482 0.000
0.000 0.000 3.086
Be Tc Br
1 1 2
Direct
0.000 0.000 0.000
0.500 0.500 0.000
0.000 0.500 0.500
0.500 0.000 0.500

=====

Record 2
SCAN BeTcBr2, single point on PBEsol structure; ρ = 7.11 g/cm3; energy above the lowest structure with this stoichiometry = 1.026 eV per atom; space-group type = Fm-3m, No. 225
1.0
0.000 3.147 3.147
3.147 0.000 3.147
3.147 3.147 0.000
Be Tc Br
1 1 2
Direct
0.000 0.000 0.000
0.500 0.500 0.500
0.250 0.250 0.250
0.750 0.750 0.750

=====

Record 3
SCAN BeTcBr, single point on PBEsol structure; ρ = 6.23 g/cm3; energy above the lowest structure with this stoichiometry = 0.000 eV per atom; space-group type = I4mm, No. 107
1.0
-1.471 1.471 5.757
1.471 -1.471 5.757
1.471 1.471 -5.757
Be Tc Br
1 1 1
Direct
0.000 0.000 0.000
0.397 0.397 0.000
0.755 0.755 0.000

=====

Record 4
SCAN Be2TeBr, single point on PBEsol structure; ρ = 4.44 g/cm3; energy above the lowest structure with this stoichiometry = 0.000 eV per atom; space-group type = I-42d, No. 122
1.0
-2.710 2.710 5.739
2.710 -2.710 5.739
2.710 2.710 -5.739
Be Te Br
4 2 2
Direct
0.122 0.625 0.997
0.375 0.372 0.497
0.628 0.125 0.003
0.875 0.878 0.503
0.000 0.000 0.000
0.750 0.250 0.500
0.250 0.750 0.500
0.500 0.500 0.000

=====

Record 5
SCAN BeTe2Br, single point on PBEsol structure; ρ = 6.26 g/cm3; energy above the lowest structure with this stoichiometry = 0.150 eV per atom; space-group type = F-43m, No. 216
1.0
0.000 3.574 3.574
3.574 0.000 3.574
3.574 3.574 0.000
Be Te Br
1 2 1
Direct
0.000 0.000 0.000
0.500 0.500 0.500
0.750 0.750 0.750
0.250 0.250 0.250

=====

Record 6
SCAN BeTe2Br, single point on PBEsol structure; ρ = 5.51 g/cm3; energy above the lowest structure with this stoichiometry = 0.000 eV per atom; space-group type = Pmmm, No. 47
1.0
3.862 0.000 0.000
0.000 4.021 0.000
0.000 0.000 6.681
Be Te Br
1 2 1
Direct
0.000 0.000 0.000
0.000 0.500 0.500
0.500 0.500 0.000
0.500 0.000 0.500